No. 1
VASP calculation (GGA-PBE) on a geometry-optimized Tc2PF2 structure.

Values from the calculation:
formation energy without anion corrections = 9.1 meV/atom
calculated total energy = -5.968 eV/atom
distance to the lowest polymorph of the same formula = 0 meV/atom

Lattice parameters (Å, degrees): 4.727 4.727 4.727 127.85 127.85 76.86
Fractional coordinates of all 5 atoms:
1 Tc 0.250 0.750 0.500
2 Tc 0.750 0.250 0.500
3 P 0.000 0.000 0.000
4 F 0.359 0.359 0.000
5 F 0.641 0.641 0.000



No. 2
VASP calculation (GGA-PBE) on a geometry-optimized Pm2Ho2Au3 structure.

Values from the calculation:
DFT formation energy = -0.65 eV per atom
calculated total energy = -4.717 eV/atom

Lattice parameters (Å, degrees): 7.819 7.819 7.819 109.47 109.47 109.47
Fractional coordinates of all 14 atoms:
1 Pm 0.000 0.355 0.500
2 Pm 0.145 0.145 0.145
3 Pm 0.355 0.500 0.000
4 Pm 0.500 0.000 0.355
5 Ho 0.000 0.864 0.500
6 Ho 0.500 0.000 0.864
7 Ho 0.636 0.636 0.636
8 Ho 0.864 0.500 0.000
9 Au 0.113 0.750 0.863
10 Au 0.250 0.637 0.387
11 Au 0.387 0.250 0.637
12 Au 0.637 0.387 0.250
13 Au 0.750 0.863 0.113
14 Au 0.863 0.113 0.750



No. 3
VASP calculation (GGA-PBE) on a geometry-optimized CaCeTlPb structure.

Values from the calculation:
DFT formation energy = -0.39 eV per atom
calculated total energy = -3.888 eV/atom
distance to the lowest polymorph of the same formula = 0 meV/atom

Lattice parameters (Å, degrees): 4.417 5.159 5.262 90.00 90.00 90.00
Fractional coordinates of all 4 atoms:
1 Ca 0.000 0.000 0.000
2 Ce 0.000 0.500 0.500
3 Tl 0.500 0.500 0.000
4 Pb 0.500 0.000 0.500



No. 4
VASP calculation (GGA-PBE) on a geometry-optimized CdIn5Hg6 structure.

Values from the calculation:
DFT formation energy = 0.02 eV per atom
calculated total energy = -1.344 eV/atom
distance to the lowest polymorph of the same formula = 13 meV/atom

Lattice parameters (Å, degrees): 7.414 7.414 7.472 99.37 99.37 119.32
Fractional coordinates of all 12 atoms:
1 Cd 0.000 0.000 0.000
2 In 0.171 0.829 0.500
3 In 0.334 0.666 0.000
4 In 0.500 0.500 0.500
5 In 0.666 0.334 0.000
6 In 0.829 0.171 0.500
7 Hg 0.082 0.411 0.246
8 Hg 0.245 0.245 0.749
9 Hg 0.411 0.082 0.246
10 Hg 0.589 0.918 0.754
11 Hg 0.755 0.755 0.251
12 Hg 0.918 0.589 0.754



| no. | M_tot (μB per atom) |
| --- | --- |
| 1 | 0.461 |
| 2 | 0.000 |
| 3 | 0.269 |
| 4 | 0.000 |